[1]
Here is a relaxed structure of TbTlGe2Cl8 from Alexandria via LeMat-Bulk. Energies are from GGA-PBE.

Results
- Formation energy from raw total energies: -1.31 eV per atom

a = 6.3177 Å, b = 6.9190 Å, c = 9.0747 Å
α = 85.95°, β = 89.40°, γ = 85.89°
Space group P-1 (No. 2)
Inequivalent atoms, fractional coordinates:
Tb  0.0000  0.0000  0.0000 [1 per cell]
Tl  0.0000  0.0000  0.5000 [1 per cell]
Ge  0.4615  0.4514  0.7654 [2 per cell]
Cl  0.2156  0.8143  0.7969 [2 per cell]
Cl  0.2397  0.3120  0.9628 [2 per cell]
Cl  0.2671  0.8607  0.2163 [2 per cell]
Cl  0.2746  0.3608  0.5695 [2 per cell]

[2]
Here is a relaxed structure of TbErMgOs from Alexandria via LeMat-Bulk. Energies are from GGA-PBE.

Results
- Energy relative to the lowest polymorph listed for this composition: 0 meV per atom
- Energy of formation from the pure elements: -20.5 kJ/mol of atoms

a = 3.3957 Å, b = 3.3957 Å, c = 8.4545 Å
α = 90.00°, β = 90.00°, γ = 90.00°
Space group P4mm (No. 99)
Inequivalent atoms, fractional coordinates:
Tb  0.0000  0.0000  0.0000 [1 per cell]
Er  0.0000  0.0000  0.6082 [1 per cell]
Mg  0.5000  0.5000  0.3076 [1 per cell]
Os  0.5000  0.5000  0.8006 [1 per cell]

[3]
Here is a relaxed structure of CeSmAu4 from Alexandria via LeMat-Bulk. Energies are from GGA-PBE.

Results
- Energy relative to the lowest polymorph listed for this composition: 14 meV per atom
- Energy of formation from the pure elements: -69.3 kJ/mol of atoms

a = 4.7863 Å, b = 3.4512 Å, c = 8.3022 Å
α = 90.00°, β = 90.15°, γ = 90.00°
Space group P2/m (No. 10)
Inequivalent atoms, fractional coordinates:
Ce  0.0000  0.0000  0.0000 [1 per cell]
Sm  0.5000  0.0000  0.5000 [1 per cell]
Au  0.0008  0.5000  0.3339 [2 per cell]
Au  0.5001  0.5000  0.1669 [2 per cell]

[4]
Here is a relaxed structure of HfZrGe from Alexandria via LeMat-Bulk. Energies are from GGA-PBE.

Results
- Energy of formation from the pure elements: -62.1 kJ/mol of atoms

a = 12.9043 Å, b = 3.7309 Å, c = 7.5413 Å
α = 90.00°, β = 90.00°, γ = 90.00°
Space group Pmma (No. 51)
Inequivalent atoms, fractional coordinates:
Hf  0.1130  0.0000  0.0713 [4 per cell]
Hf  0.2500  0.0000  0.6887 [2 per cell]
Zr  0.0473  0.5000  0.7265 [4 per cell]
Zr  0.2500  0.5000  0.3431 [2 per cell]
Ge  0.0950  0.0000  0.4393 [4 per cell]
Ge  0.2500  0.5000  0.9497 [2 per cell]

[5]
Here is a relaxed structure of PmY3C from Alexandria via LeMat-Bulk. Energies are from GGA-PBE.

Results
- Energy of formation from the pure elements: -1.5 kJ/mol of atoms

a = 5.0824 Å, b = 5.0824 Å, c = 5.0824 Å
α = 90.00°, β = 90.00°, γ = 90.00°
Space group Pm-3m (No. 221)
Inequivalent atoms, fractional coordinates:
Pm  0.0000  0.0000  0.0000 [1 per cell]
Y  0.0000  0.5000  0.5000 [3 per cell]
C  0.5000  0.5000  0.5000 [1 per cell]

[6]
Here is a relaxed structure of Pu2InIr from Alexandria via LeMat-Bulk. Energies are from GGA-PBE.

Results
- Energy relative to the lowest polymorph listed for this composition: 0 meV per atom
- Energy of formation from the pure elements: -33.4 kJ/mol of atoms

a = 3.2872 Å, b = 3.2872 Å, c = 8.5893 Å
α = 90.00°, β = 90.00°, γ = 90.00°
Space group P4/mmm (No. 123)
Inequivalent atoms, fractional coordinates:
Pu  0.0000  0.0000  0.2101 [2 per cell]
In  0.5000  0.5000  0.5000 [1 per cell]
Ir  0.5000  0.5000  0.0000 [1 per cell]

[7]
Here is a relaxed structure of SbP2Os from Alexandria via LeMat-Bulk. Energies are from GGA-PBE.

Results
- Formation energy from raw total energies: 0.68 eV per atom

a = 3.0442 Å, b = 5.3080 Å, c = 8.8256 Å
α = 90.00°, β = 90.00°, γ = 90.00°
Space group Cmm2 (No. 35)
Inequivalent atoms, fractional coordinates:
Sb  0.0000  0.0000  0.0000 [2 per cell]
P  0.0000  0.0000  0.5240 [2 per cell]
P  0.0000  0.5000  0.3295 [2 per cell]
Os  0.0000  0.5000  0.7265 [2 per cell]

[8]
Here is a relaxed structure of Sc6H3C2O from Alexandria via LeMat-Bulk. Energies are from GGA-PBE.

Results
- Energy: -6.920 eV/atom

a = 5.7153 Å, b = 9.8838 Å, c = 5.5435 Å
α = 90.00°, β = 110.35°, γ = 90.00°
Space group C2/m (No. 12)
Inequivalent atoms, fractional coordinates:
Sc  0.2439  0.0000  0.2308 [4 per cell]
Sc  0.2451  0.3331  0.2319 [8 per cell]
H  0.0000  0.0000  0.5000 [2 per cell]
H  0.0000  0.3347  0.5000 [4 per cell]
C  0.0000  0.1670  0.0000 [4 per cell]
O  0.0000  0.5000  0.0000 [2 per cell]

[9]
Here is a relaxed structure of PmSmGeRu from Alexandria via LeMat-Bulk. Energies are from GGA-PBE.

Results
- Energy relative to the lowest polymorph listed for this composition: 0 meV per atom
- Energy of formation from the pure elements: -54.3 kJ/mol of atoms

a = 3.9352 Å, b = 4.3504 Å, c = 11.0688 Å
α = 90.00°, β = 90.00°, γ = 90.00°
Space group Amm2 (No. 38)
Inequivalent atoms, fractional coordinates:
Pm  0.0000  0.0000  0.0000 [2 per cell]
Sm  0.5000  0.0000  0.2799 [2 per cell]
Ge  0.0000  0.0000  0.7011 [2 per cell]
Ru  0.5000  0.0000  0.5520 [2 per cell]

[10]
Here is a relaxed structure of TiCoNi2H from Alexandria via LeMat-Bulk. Energies are from GGA-PBE.

Results
- Energy relative to the lowest polymorph listed for this composition: 48 meV per atom

a = 3.5253 Å, b = 3.5253 Å, c = 3.9485 Å
α = 90.00°, β = 90.00°, γ = 90.00°
Space group P4/mmm (No. 123)
Inequivalent atoms, fractional coordinates:
Ti  0.0000  0.0000  0.0000 [1 per cell]
Co  0.5000  0.5000  0.0000 [1 per cell]
Ni  0.0000  0.5000  0.5000 [2 per cell]
H  0.0000  0.0000  0.5000 [1 per cell]

[11]
Here is a relaxed structure of BeAg2W from Alexandria via LeMat-Bulk. Energies are from GGA-PBE.

Results
- Energy of formation from the pure elements: 73.8 kJ/mol of atoms

a = 3.6956 Å, b = 3.6956 Å, c = 4.4833 Å
α = 90.00°, β = 90.00°, γ = 90.00°
Space group P4/mmm (No. 123)
Inequivalent atoms, fractional coordinates:
Be  0.0000  0.0000  0.0000 [1 per cell]
Ag  0.0000  0.5000  0.5000 [2 per cell]
W  0.5000  0.5000  0.0000 [1 per cell]

[12]
Here is a relaxed structure of CePuCuAu from Alexandria via LeMat-Bulk. Energies are from GGA-PBE.

Results
- Energy relative to the lowest polymorph listed for this composition: 0 meV per atom
- Energy of formation from the pure elements: -33.9 kJ/mol of atoms

a = 6.8517 Å, b = 6.8517 Å, c = 6.8517 Å
α = 90.00°, β = 90.00°, γ = 90.00°
Space group F-43m (No. 216)
Inequivalent atoms, fractional coordinates:
Ce  0.0000  0.0000  0.0000 [4 per cell]
Pu  0.2500  0.2500  0.2500 [4 per cell]
Cu  0.2500  0.2500  0.7500 [4 per cell]
Au  0.0000  0.0000  0.5000 [4 per cell]

[13]
Here is a relaxed structure of LaPr2Eu from Alexandria via LeMat-Bulk. Energies are from GGA-PBE.

Results
- Energy relative to the lowest polymorph listed for this composition: 105 meV per atom
- Energy of formation from the pure elements: 13.2 kJ/mol of atoms

a = 8.4514 Å, b = 8.4514 Å, c = 8.4514 Å
α = 90.00°, β = 90.00°, γ = 90.00°
Space group Fm-3m (No. 225)
Inequivalent atoms, fractional coordinates:
La  0.0000  0.0000  0.0000 [4 per cell]
Pr  0.2500  0.2500  0.2500 [8 per cell]
Eu  0.0000  0.0000  0.5000 [4 per cell]

[14]
Here is a relaxed structure of LaAg2P2 from Alexandria via LeMat-Bulk. Energies are from GGA-PBE.

Results
- Energy relative to the lowest polymorph listed for this composition: 0 meV per atom
- Energy of formation from the pure elements: -53.2 kJ/mol of atoms

a = 4.1103 Å, b = 4.1103 Å, c = 11.7529 Å
α = 90.00°, β = 90.00°, γ = 90.00°
Space group I4/mmm (No. 139)
Inequivalent atoms, fractional coordinates:
La  0.0000  0.0000  0.0000 [2 per cell]
Ag  0.0000  0.5000  0.2500 [4 per cell]
P  0.0000  0.0000  0.3974 [4 per cell]

[15]
Here is a relaxed structure of Ac4TePb2 from Alexandria via LeMat-Bulk. Energies are from GGA-PBE.

Results
- Energy relative to the lowest polymorph listed for this composition: 0 meV per atom
- Formation energy from raw total energies: -0.77 eV per atom

a = 10.2031 Å, b = 10.2031 Å, c = 10.2229 Å
α = 90.00°, β = 90.00°, γ = 90.00°
Space group I-42d (No. 122)
Inequivalent atoms, fractional coordinates:
Ac  0.0726  0.6829  0.4436 [16 per cell]
Te  0.0000  0.0000  0.5000 [4 per cell]
Pb  0.1264  0.7500  0.1250 [8 per cell]

[16]
Here is a relaxed structure of AlCo3 from Alexandria via LeMat-Bulk. Energies are from GGA-PBE.

Results
- Energy of formation from the pure elements: -19.9 kJ/mol of atoms

a = 5.0644 Å, b = 5.0644 Å, c = 4.0942 Å
α = 90.00°, β = 90.00°, γ = 120.00°
Space group P6_3/mmc (No. 194)
Inequivalent atoms, fractional coordinates:
Al  0.3333  0.6667  0.2500 [2 per cell]
Co  0.1658  0.3315  0.7500 [6 per cell]

[17]
Here is a relaxed structure of Zr3Al from Alexandria via LeMat-Bulk. Energies are from GGA-PBE.

Results
- Energy of formation from the pure elements: -23.4 kJ/mol of atoms

a = 6.3762 Å, b = 12.7208 Å, c = 4.1804 Å
α = 90.00°, β = 90.00°, γ = 90.00°
Space group Cmmm (No. 65)
Inequivalent atoms, fractional coordinates:
Zr  0.0000  0.1246  0.0000 [4 per cell]
Zr  0.2355  0.5000  0.5000 [4 per cell]
Zr  0.2500  0.2500  0.5000 [4 per cell]
Al  0.0000  0.3725  0.0000 [4 per cell]